# 1
! SmErMgGe | the Alexandria database | PBE | optimized geometry; values from VASP
&SYSTEM
  ibrav = 0, nat = 16, ntyp = 4
/
ATOMIC_SPECIES
Sm 150.36 Sm.upf
Er 167.26 Er.upf
Mg 24.30 Mg.upf
Ge 72.64 Ge.upf
CELL_PARAMETERS angstrom
7.301 0.000 0.000
0.000 7.301 0.000
0.000 0.000 7.301
ATOMIC_POSITIONS crystal
Sm 0.000 0.000 0.000
Sm 0.000 0.500 0.500
Sm 0.500 0.000 0.500
Sm 0.500 0.500 0.000
Er 0.000 0.000 0.500
Er 0.000 0.500 0.000
Er 0.500 0.000 0.000
Er 0.500 0.500 0.500
Mg 0.250 0.250 0.750
Mg 0.250 0.750 0.250
Mg 0.750 0.250 0.250
Mg 0.750 0.750 0.750
Ge 0.250 0.250 0.250
Ge 0.250 0.750 0.750
Ge 0.750 0.250 0.750
Ge 0.750 0.750 0.250
! calculated formation energy: -1.40 eV per formula unit
! SG: F-43m (216)
! calculated density: 7.076 g cm⁻³


# 2
! ErMn2Ge3 | the Alexandria database | PBE | optimized geometry; values from VASP
&SYSTEM
  ibrav = 0, nat = 12, ntyp = 3
/
ATOMIC_SPECIES
Er 167.26 Er.upf
Mn 54.94 Mn.upf
Ge 72.64 Ge.upf
CELL_PARAMETERS angstrom
2.083 -6.043 0.000
2.083 6.043 0.000
0.000 0.000 8.183
ATOMIC_POSITIONS crystal
Er 0.203 0.797 0.750
Er 0.797 0.203 0.250
Mn 0.000 0.000 0.000
Mn 0.000 0.000 0.500
Mn 0.471 0.529 0.750
Mn 0.529 0.471 0.250
Ge 0.126 0.874 0.250
Ge 0.382 0.618 0.030
Ge 0.382 0.618 0.470
Ge 0.618 0.382 0.530
Ge 0.618 0.382 0.970
Ge 0.874 0.126 0.750
! calculated formation energy: -1.81 eV per formula unit
! SG: Cmcm (63)
! calculated density: 7.979 g cm⁻³


# 3
! ErMnGe2 | the Alexandria database | PBE | optimized geometry; values from VASP
&SYSTEM
  ibrav = 0, nat = 24, ntyp = 3
/
ATOMIC_SPECIES
Er 167.26 Er.upf
Mn 54.94 Mn.upf
Ge 72.64 Ge.upf
CELL_PARAMETERS angstrom
-2.724 4.106 9.266
2.724 -4.106 9.266
2.724 4.106 -9.266
ATOMIC_POSITIONS crystal
Er 0.142 0.142 0.000
Er 0.153 0.407 0.747
Er 0.340 0.593 0.747
Er 0.660 0.407 0.253
Er 0.847 0.593 0.253
Er 0.858 0.858 0.000
Mn 0.000 0.000 0.500
Mn 0.000 0.500 0.000
Mn 0.253 0.000 0.253
Mn 0.500 0.000 0.000
Mn 0.500 0.500 0.500
Mn 0.747 0.000 0.747
Ge 0.000 0.249 0.249
Ge 0.000 0.751 0.751
Ge 0.207 0.707 0.500
Ge 0.207 0.861 0.346
Ge 0.297 0.297 0.000
Ge 0.485 0.139 0.346
Ge 0.500 0.251 0.751
Ge 0.500 0.749 0.249
Ge 0.515 0.861 0.654
Ge 0.703 0.703 0.000
Ge 0.793 0.139 0.654
Ge 0.793 0.293 0.500
! calculated formation energy: -2.03 eV per formula unit
! SG: Immm (71)
! calculated density: 8.832 g cm⁻³


# 4
! Er2Mn3Ge4 | the Alexandria database | PBE | optimized geometry; values from VASP
&SYSTEM
  ibrav = 0, nat = 18, ntyp = 3
/
ATOMIC_SPECIES
Er 167.26 Er.upf
Mn 54.94 Mn.upf
Ge 72.64 Ge.upf
CELL_PARAMETERS angstrom
2.811 -7.378 0.000
2.811 7.378 0.000
0.000 0.000 7.429
ATOMIC_POSITIONS crystal
Er 0.112 0.888 0.912
Er 0.388 0.612 0.412
Er 0.612 0.388 0.588
Er 0.888 0.112 0.088
Mn 0.000 0.000 0.500
Mn 0.035 0.465 0.750
Mn 0.465 0.035 0.250
Mn 0.500 0.500 0.000
Mn 0.535 0.965 0.750
Mn 0.965 0.535 0.250
Ge 0.187 0.813 0.541
Ge 0.201 0.299 0.750
Ge 0.299 0.201 0.250
Ge 0.313 0.687 0.041
Ge 0.687 0.313 0.959
Ge 0.701 0.799 0.750
Ge 0.799 0.701 0.250
Ge 0.813 0.187 0.459
! calculated formation energy: -3.90 eV per formula unit
! SG: Cmce (64)
! calculated density: 8.513 g cm⁻³


# 5
! ErMn3Ge2 | the Alexandria database | PBE | optimized geometry; values from VASP
&SYSTEM
  ibrav = 0, nat = 12, ntyp = 3
/
ATOMIC_SPECIES
Er 167.26 Er.upf
Mn 54.94 Mn.upf
Ge 72.64 Ge.upf
CELL_PARAMETERS angstrom
7.279 -1.962 0.000
7.279 1.962 0.000
-3.161 0.000 6.565
ATOMIC_POSITIONS crystal
Er 0.143 0.143 0.061
Er 0.857 0.857 0.939
Mn 0.046 0.046 0.399
Mn 0.305 0.305 0.523
Mn 0.417 0.417 0.372
Mn 0.583 0.583 0.628
Mn 0.695 0.695 0.477
Mn 0.954 0.954 0.601
Ge 0.201 0.201 0.718
Ge 0.478 0.478 0.812
Ge 0.522 0.522 0.188
Ge 0.799 0.799 0.282
! calculated formation energy: -2.04 eV per formula unit
! SG: C2/m (12)
! calculated density: 8.453 g cm⁻³


# 6
! Er3MnGe3 | the Alexandria database | PBE | optimized geometry; values from VASP
&SYSTEM
  ibrav = 0, nat = 14, ntyp = 3
/
ATOMIC_SPECIES
Er 167.26 Er.upf
Mn 54.94 Mn.upf
Ge 72.64 Ge.upf
CELL_PARAMETERS angstrom
5.356 -2.107 0.000
5.356 2.107 0.000
-4.735 0.000 12.915
ATOMIC_POSITIONS crystal
Er 0.021 0.021 0.378
Er 0.099 0.099 0.921
Er 0.243 0.243 0.228
Er 0.757 0.757 0.772
Er 0.901 0.901 0.079
Er 0.979 0.979 0.622
Mn 0.259 0.259 0.591
Mn 0.741 0.741 0.409
Ge 0.367 0.367 0.452
Ge 0.374 0.374 0.924
Ge 0.461 0.461 0.762
Ge 0.539 0.539 0.238
Ge 0.626 0.626 0.076
Ge 0.633 0.633 0.548
! calculated formation energy: -5.03 eV per formula unit
! SG: C2/m (12)
! calculated density: 8.825 g cm⁻³


# 7
! Er2MnGe4 | the Alexandria database | PBE | optimized geometry; values from VASP
&SYSTEM
  ibrav = 0, nat = 14, ntyp = 3
/
ATOMIC_SPECIES
Er 167.26 Er.upf
Mn 54.94 Mn.upf
Ge 72.64 Ge.upf
CELL_PARAMETERS angstrom
4.167 0.000 0.000
0.000 4.235 0.000
0.000 0.000 15.479
ATOMIC_POSITIONS crystal
Er 0.000 0.000 0.000
Er 0.000 0.500 0.500
Er 0.500 0.000 0.205
Er 0.500 0.500 0.705
Mn 0.000 0.000 0.798
Mn 0.000 0.500 0.298
Ge 0.000 0.000 0.362
Ge 0.000 0.000 0.646
Ge 0.000 0.500 0.146
Ge 0.000 0.500 0.862
Ge 0.500 0.000 0.536
Ge 0.500 0.000 0.861
Ge 0.500 0.500 0.036
Ge 0.500 0.500 0.361
! calculated formation energy: -3.65 eV per formula unit
! SG: Amm2 (38)
! calculated density: 8.267 g cm⁻³


# 8
! ErMn3Ge3 | the Alexandria database | PBE | optimized geometry; values from VASP
&SYSTEM
  ibrav = 0, nat = 14, ntyp = 3
/
ATOMIC_SPECIES
Er 167.26 Er.upf
Mn 54.94 Mn.upf
Ge 72.64 Ge.upf
CELL_PARAMETERS angstrom
6.638 0.000 0.000
0.000 6.638 0.000
0.000 0.000 6.638
ATOMIC_POSITIONS crystal
Er 0.000 0.000 0.000
Er 0.500 0.500 0.500
Mn 0.000 0.250 0.500
Mn 0.000 0.750 0.500
Mn 0.250 0.500 0.000
Mn 0.500 0.000 0.250
Mn 0.500 0.000 0.750
Mn 0.750 0.500 0.000
Ge 0.000 0.500 0.250
Ge 0.000 0.500 0.750
Ge 0.250 0.000 0.500
Ge 0.500 0.250 0.000
Ge 0.500 0.750 0.000
Ge 0.750 0.000 0.500
! polymorph energy (0 for the lowest one): 559 meV/atom
! calculated formation energy: 2.41 eV per formula unit
! SG: Pm-3n (223)
! calculated density: 6.246 g cm⁻³


# 9
! ErMn6Ge6 | the Alexandria database | PBE | optimized geometry; values from VASP
&SYSTEM
  ibrav = 0, nat = 13, ntyp = 3
/
ATOMIC_SPECIES
Er 167.26 Er.upf
Mn 54.94 Mn.upf
Ge 72.64 Ge.upf
CELL_PARAMETERS angstrom
5.159 0.000 0.000
-2.579 4.467 0.000
0.000 0.000 8.150
ATOMIC_POSITIONS crystal
Er 0.000 0.000 0.000
Mn 0.000 0.500 0.250
Mn 0.000 0.500 0.750
Mn 0.500 0.000 0.250
Mn 0.500 0.000 0.750
Mn 0.500 0.500 0.250
Mn 0.500 0.500 0.750
Ge 0.000 0.000 0.344
Ge 0.000 0.000 0.656
Ge 0.333 0.667 0.000
Ge 0.333 0.667 0.500
Ge 0.667 0.333 0.000
Ge 0.667 0.333 0.500
! polymorph energy (0 for the lowest one): 0 meV/atom
! calculated formation energy: -4.12 eV per formula unit
! SG: P6/mmm (191)
! calculated density: 8.246 g cm⁻³


# 10
! ErMnGe2 | the Alexandria database | PBE | optimized geometry; values from VASP
&SYSTEM
  ibrav = 0, nat = 12, ntyp = 3
/
ATOMIC_SPECIES
Er 167.26 Er.upf
Mn 54.94 Mn.upf
Ge 72.64 Ge.upf
CELL_PARAMETERS angstrom
4.100 0.000 0.000
-2.050 3.551 0.000
0.000 0.000 15.352
ATOMIC_POSITIONS crystal
Er 0.000 0.000 0.000
Er 0.333 0.667 0.667
Er 0.667 0.333 0.333
Mn 0.000 0.000 0.500
Mn 0.333 0.667 0.167
Mn 0.667 0.333 0.833
Ge 0.000 0.000 0.225
Ge 0.000 0.000 0.775
Ge 0.333 0.667 0.442
Ge 0.333 0.667 0.892
Ge 0.667 0.333 0.108
Ge 0.667 0.333 0.558
! calculated formation energy: -1.80 eV per formula unit
! SG: R-3m (166)
! calculated density: 8.189 g cm⁻³


# 11
! ErMn3Ge3 | the Alexandria database | PBE | optimized geometry; values from VASP
&SYSTEM
  ibrav = 0, nat = 14, ntyp = 3
/
ATOMIC_SPECIES
Er 167.26 Er.upf
Mn 54.94 Mn.upf
Ge 72.64 Ge.upf
CELL_PARAMETERS angstrom
8.099 0.000 0.000
-4.049 7.014 0.000
0.000 0.000 4.063
ATOMIC_POSITIONS crystal
Er 0.333 0.667 0.250
Er 0.667 0.333 0.750
Mn 0.051 0.194 0.250
Mn 0.143 0.949 0.250
Mn 0.194 0.143 0.750
Mn 0.806 0.857 0.250
Mn 0.857 0.051 0.750
Mn 0.949 0.806 0.750
Ge 0.089 0.389 0.750
Ge 0.300 0.911 0.750
Ge 0.389 0.300 0.250
Ge 0.611 0.700 0.750
Ge 0.700 0.089 0.250
Ge 0.911 0.611 0.250
! polymorph energy (0 for the lowest one): 0 meV/atom
! calculated formation energy: -1.50 eV per formula unit
! SG: P6_3/m (176)
! calculated density: 7.915 g cm⁻³


# 12
! ErMn2Ge2 | the Alexandria database | PBE | optimized geometry; values from VASP
&SYSTEM
  ibrav = 0, nat = 10, ntyp = 3
/
ATOMIC_SPECIES
Er 167.26 Er.upf
Mn 54.94 Mn.upf
Ge 72.64 Ge.upf
CELL_PARAMETERS angstrom
3.917 0.000 0.000
0.000 3.917 0.000
0.000 0.000 10.796
ATOMIC_POSITIONS crystal
Er 0.000 0.000 0.000
Er 0.500 0.500 0.500
Mn 0.000 0.500 0.250
Mn 0.000 0.500 0.750
Mn 0.500 0.000 0.250
Mn 0.500 0.000 0.750
Ge 0.000 0.000 0.382
Ge 0.000 0.000 0.618
Ge 0.500 0.500 0.118
Ge 0.500 0.500 0.882
! calculated formation energy: -2.35 eV per formula unit
! SG: I4/mmm (139)
! calculated density: 8.469 g cm⁻³


# 13
! ErMn3Ge3 | the Alexandria database | PBE | optimized geometry; values from VASP
&SYSTEM
  ibrav = 0, nat = 14, ntyp = 3
/
ATOMIC_SPECIES
Er 167.26 Er.upf
Mn 54.94 Mn.upf
Ge 72.64 Ge.upf
CELL_PARAMETERS angstrom
0.000 5.616 5.616
5.616 0.000 5.616
5.616 5.616 0.000
ATOMIC_POSITIONS crystal
Er 0.250 0.250 0.250
Er 0.750 0.750 0.750
Mn 0.139 0.139 0.861
Mn 0.139 0.861 0.139
Mn 0.139 0.861 0.861
Mn 0.861 0.139 0.139
Mn 0.861 0.139 0.861
Mn 0.861 0.861 0.139
Ge 0.338 0.338 0.662
Ge 0.338 0.662 0.338
Ge 0.338 0.662 0.662
Ge 0.662 0.338 0.338
Ge 0.662 0.338 0.662
Ge 0.662 0.662 0.338
! polymorph energy (0 for the lowest one): 1141 meV/atom
! calculated formation energy: 6.49 eV per formula unit
! SG: Fm-3m (225)
! calculated density: 5.157 g cm⁻³


# 14
! ErMn6Ge6 | the Alexandria database | PBE | optimized geometry; values from VASP
&SYSTEM
  ibrav = 0, nat = 13, ntyp = 3
/
ATOMIC_SPECIES
Er 167.26 Er.upf
Mn 54.94 Mn.upf
Ge 72.64 Ge.upf
CELL_PARAMETERS angstrom
-2.582 4.063 4.466
2.582 -4.063 4.466
2.582 4.063 -4.466
ATOMIC_POSITIONS crystal
Er 0.000 0.000 0.000
Mn 0.000 0.000 0.500
Mn 0.000 0.500 0.000
Mn 0.252 0.500 0.752
Mn 0.500 0.000 0.000
Mn 0.500 0.500 0.500
Mn 0.748 0.500 0.248
Ge 0.168 0.668 0.500
Ge 0.336 0.336 0.000
Ge 0.344 0.000 0.344
Ge 0.656 0.000 0.656
Ge 0.664 0.664 0.000
Ge 0.832 0.332 0.500
! polymorph energy (0 for the lowest one): 3 meV/atom
! calculated formation energy: -4.09 eV per formula unit
! SG: Immm (71)
! calculated density: 8.264 g cm⁻³


# 15
! ErMnNbGe2 | the Alexandria database | PBE | optimized geometry; values from VASP
&SYSTEM
  ibrav = 0, nat = 10, ntyp = 4
/
ATOMIC_SPECIES
Er 167.26 Er.upf
Mn 54.94 Mn.upf
Nb 92.91 Nb.upf
Ge 72.64 Ge.upf
CELL_PARAMETERS angstrom
3.975 0.000 0.000
0.000 3.975 0.000
0.000 0.000 11.667
ATOMIC_POSITIONS crystal
Er 0.000 0.000 0.000
Er 0.500 0.500 0.500
Mn 0.000 0.500 0.750
Mn 0.500 0.000 0.250
Nb 0.000 0.500 0.250
Nb 0.500 0.000 0.750
Ge 0.000 0.000 0.392
Ge 0.000 0.000 0.608
Ge 0.500 0.500 0.108
Ge 0.500 0.500 0.892
! calculated formation energy: -2.32 eV per formula unit
! SG: I-4m2 (119)
! calculated density: 8.295 g cm⁻³


# 16
! Er2MnNi3Ge4 | the Alexandria database | PBE | optimized geometry; values from VASP
&SYSTEM
  ibrav = 0, nat = 10, ntyp = 4
/
ATOMIC_SPECIES
Er 167.26 Er.upf
Mn 54.94 Mn.upf
Ni 58.69 Ni.upf
Ge 72.64 Ge.upf
CELL_PARAMETERS angstrom
4.017 0.000 0.000
0.000 4.017 0.000
0.000 0.000 10.052
ATOMIC_POSITIONS crystal
Er 0.000 0.500 0.245
Er 0.500 0.000 0.755
Mn 0.000 0.000 0.500
Ni 0.000 0.500 0.873
Ni 0.500 0.000 0.127
Ni 0.500 0.500 0.500
Ge 0.000 0.000 0.000
Ge 0.000 0.500 0.640
Ge 0.500 0.000 0.360
Ge 0.500 0.500 0.000
! calculated formation energy: -6.13 eV per formula unit
! SG: P-4m2 (115)
! calculated density: 8.765 g cm⁻³


# 17
! Er2MnNi4Ge3 | the Alexandria database | PBE | optimized geometry; values from VASP
&SYSTEM
  ibrav = 0, nat = 10, ntyp = 4
/
ATOMIC_SPECIES
Er 167.26 Er.upf
Mn 54.94 Mn.upf
Ni 58.69 Ni.upf
Ge 72.64 Ge.upf
CELL_PARAMETERS angstrom
3.968 0.000 0.000
0.000 3.968 0.000
0.000 0.000 10.041
ATOMIC_POSITIONS crystal
Er 0.000 0.500 0.248
Er 0.500 0.000 0.752
Mn 0.000 0.000 0.500
Ni 0.000 0.000 0.000
Ni 0.000 0.500 0.637
Ni 0.500 0.000 0.363
Ni 0.500 0.500 0.000
Ge 0.000 0.500 0.869
Ge 0.500 0.000 0.131
Ge 0.500 0.500 0.500
! calculated formation energy: -5.79 eV per formula unit
! SG: P-4m2 (115)
! calculated density: 8.847 g cm⁻³


# 18
! Er6MnGe2S14 | the Alexandria database | PBE | optimized geometry; values from VASP
&SYSTEM
  ibrav = 0, nat = 23, ntyp = 4
/
ATOMIC_SPECIES
Er 167.26 Er.upf
Mn 54.94 Mn.upf
Ge 72.64 Ge.upf
S 32.06 S.upf
CELL_PARAMETERS angstrom
9.534 0.000 0.000
-4.767 8.257 0.000
0.000 0.000 6.038
ATOMIC_POSITIONS crystal
Er 0.023 0.485 0.000
Er 0.307 0.181 0.491
Er 0.462 0.977 0.000
Er 0.515 0.538 0.000
Er 0.819 0.125 0.491
Er 0.875 0.693 0.491
Mn 0.667 0.333 0.651
Ge 0.000 0.000 0.061
Ge 0.333 0.667 0.575
S 0.000 0.000 0.692
S 0.101 0.244 0.219
S 0.143 0.899 0.219
S 0.193 0.769 0.734
S 0.231 0.424 0.734
S 0.333 0.667 0.205
S 0.433 0.230 0.891
S 0.527 0.090 0.427
S 0.562 0.473 0.427
S 0.576 0.807 0.734
S 0.756 0.857 0.219
S 0.770 0.203 0.891
S 0.797 0.567 0.891
S 0.910 0.438 0.427
! SG: P3 (143)
! calculated density: 5.773 g cm⁻³


# 19
! ErMn6Sn4Ge2 | the Alexandria database | PBE | optimized geometry; values from VASP
&SYSTEM
  ibrav = 0, nat = 13, ntyp = 4
/
ATOMIC_SPECIES
Er 167.26 Er.upf
Mn 54.94 Mn.upf
Sn 118.71 Sn.upf
Ge 72.64 Ge.upf
CELL_PARAMETERS angstrom
5.336 0.000 0.000
-2.668 4.621 0.000
0.000 0.000 8.682
ATOMIC_POSITIONS crystal
Er 0.000 0.000 0.000
Mn 0.000 0.500 0.233
Mn 0.000 0.500 0.767
Mn 0.500 0.000 0.233
Mn 0.500 0.000 0.767
Mn 0.500 0.500 0.233
Mn 0.500 0.500 0.767
Sn 0.000 0.000 0.334
Sn 0.000 0.000 0.666
Sn 0.333 0.667 0.500
Sn 0.667 0.333 0.500
Ge 0.333 0.667 0.000
Ge 0.667 0.333 0.000
! calculated formation energy: -2.86 eV per formula unit
! SG: P6/mmm (191)
! calculated density: 8.664 g cm⁻³


# 20
! ErMnTcGe2 | the Alexandria database | PBE | optimized geometry; values from VASP
&SYSTEM
  ibrav = 0, nat = 10, ntyp = 4
/
ATOMIC_SPECIES
Er 167.26 Er.upf
Mn 54.94 Mn.upf
Tc 98.00 Tc.upf
Ge 72.64 Ge.upf
CELL_PARAMETERS angstrom
4.019 0.000 0.000
0.000 4.019 0.000
0.000 0.000 10.857
ATOMIC_POSITIONS crystal
Er 0.000 0.000 0.000
Er 0.500 0.500 0.500
Mn 0.000 0.500 0.250
Mn 0.500 0.000 0.750
Tc 0.000 0.500 0.750
Tc 0.500 0.000 0.250
Ge 0.000 0.000 0.384
Ge 0.000 0.000 0.616
Ge 0.500 0.500 0.116
Ge 0.500 0.500 0.884
! calculated formation energy: -2.31 eV per formula unit
! SG: I-4m2 (119)
! calculated density: 8.815 g cm⁻³


Results for magnetization: 0.0 2.5 8.3 15.5 3.8 5.4 3.2 17.1 11.8 7.8 0.0 8.1 0.0 11.5 4.0 2.8 3.2 0.9 12.6 5.8 (in μB per cell, following the order of the records).
Results for raw total energy: -4.223 -6.427 -6.250 -6.555 -7.225 -5.963 -5.774 -6.216 -7.031 -6.191 -6.775 -6.897 -5.634 -7.029 -7.072 -6.024 -6.107 -5.955 -6.745 -7.129 (in eV per atom, following the order of the records).
Results for volume: 24.32 17.17 17.27 17.12 15.63 20.82 19.51 20.89 14.45 18.63 16.48 16.57 25.30 14.42 18.43 16.22 15.81 20.67 16.47 17.54 (in Å³/atom, following the order of the records).